1.
This record from Alexandria describes NaTaMoBr2 after structural relaxation. The functional is PBE.

a = 5.382 Å, b = 5.382 Å, c = 4.978 Å
α = 90.00°, β = 90.00°, γ = 90.00°
Fractional positions:
Na1 0.000 0.000 0.000
Ta1 0.500 0.500 0.500
Mo1 0.500 0.500 0.000
Br1 0.000 0.500 0.500
Br2 0.500 0.000 0.500

Computed properties:
relative energy among the computed polymorphs	0.000	eV per atom
DOS(E_F)	2.5	states/eV/cell
size of the total moment	0.43	μB/atom
formation energy from raw total energies	625	meV/atom
crystal system	tetragonal

2.
This record from Alexandria describes NaTaMoBr2 after structural relaxation. The functional is PBE.

a = 5.193 Å, b = 5.193 Å, c = 6.312 Å
α = 90.00°, β = 90.00°, γ = 90.00°
Fractional positions:
Na1 0.000 0.000 0.000
Ta1 0.500 0.500 0.000
Mo1 0.000 0.000 0.500
Br1 0.000 0.500 0.500
Br2 0.500 0.000 0.500

Computed properties:
relative energy among the computed polymorphs	0.922	eV per atom
DOS(E_F)	10.8	states/eV/cell
size of the total moment	1.43	μB/atom
formation energy from raw total energies	1547	meV/atom
crystal system	tetragonal

3.
This record from Alexandria describes NaTlMo2Br after structural relaxation. The functional is PBE.

a = 5.454 Å, b = 5.454 Å, c = 6.305 Å
α = 90.00°, β = 90.00°, γ = 90.00°
Fractional positions:
Na1 0.000 0.000 0.000
Tl1 0.500 0.500 0.500
Mo1 0.000 0.500 0.500
Mo2 0.500 0.000 0.500
Br1 0.500 0.500 0.000

Computed properties:
DOS(E_F)	3.4	states/eV/cell
size of the total moment	1.78	μB/atom
formation energy from raw total energies	1554	meV/atom
crystal system	tetragonal

4.
This record from Alexandria describes NaTl2MoBr6 after structural relaxation. The functional is PBE.

a = 7.663 Å, b = 7.663 Å, c = 7.663 Å
α = 61.22°, β = 61.22°, γ = 61.22°
Fractional positions:
Na1 0.000 0.000 0.000
Tl1 0.268 0.268 0.268
Tl2 0.773 0.773 0.773
Mo1 0.496 0.496 0.496
Br1 0.185 0.715 0.340
Br2 0.265 0.656 0.803
Br3 0.340 0.185 0.715
Br4 0.656 0.803 0.265
Br5 0.715 0.340 0.185
Br6 0.803 0.265 0.656

Computed properties:
size of the total moment	0.30	μB/atom
formation energy from raw total energies	-844	meV/atom
crystal system	trigonal

5.
This record from Alexandria describes Na2TlMoBr8 after structural relaxation. The functional is PBE.

a = 6.475 Å, b = 8.977 Å, c = 6.847 Å
α = 90.00°, β = 93.87°, γ = 90.00°
Fractional positions:
Na1 0.000 0.238 0.000
Na2 0.000 0.762 0.000
Tl1 0.500 0.500 0.500
Mo1 0.500 0.000 0.500
Br1 0.195 0.500 0.172
Br2 0.267 0.000 0.182
Br3 0.279 0.203 0.641
Br4 0.279 0.797 0.641
Br5 0.721 0.203 0.359
Br6 0.721 0.797 0.359
Br7 0.733 0.000 0.818
Br8 0.805 0.500 0.828

Computed properties:
DOS(E_F)	6.7	states/eV/cell
size of the total moment	0.15	μB/atom
formation energy from raw total energies	-837	meV/atom
crystal system	monoclinic

6.
This record from Alexandria describes Na2ZrMoBr after structural relaxation. The functional is PBE.

a = 5.560 Å, b = 5.560 Å, c = 4.658 Å
α = 90.00°, β = 90.00°, γ = 90.00°
Fractional positions:
Na1 0.000 0.500 0.000
Na2 0.500 0.000 0.000
Zr1 0.000 0.000 0.500
Mo1 0.500 0.500 0.000
Br1 0.500 0.500 0.500

Computed properties:
DOS(E_F)	9.1	states/eV/cell
size of the total moment	0.00	μB/atom
formation energy from raw total energies	1452	meV/atom
crystal system	tetragonal

7.
This record from Alexandria describes NbMo2Br6 after structural relaxation. The functional is PBE.

a = 9.850 Å, b = 9.850 Å, c = 5.768 Å
α = 100.38°, β = 100.38°, γ = 72.82°
Fractional positions:
Nb1 0.057 0.943 0.750
Nb2 0.943 0.057 0.250
Mo1 0.387 0.477 0.761
Mo2 0.477 0.387 0.261
Mo3 0.523 0.613 0.739
Mo4 0.613 0.523 0.239
Br1 0.038 0.191 0.657
Br2 0.161 0.675 0.896
Br3 0.191 0.038 0.157
Br4 0.219 0.463 0.351
Br5 0.325 0.839 0.604
Br6 0.463 0.219 0.851
Br7 0.537 0.781 0.149
Br8 0.675 0.161 0.396
Br9 0.781 0.537 0.649
Br10 0.809 0.962 0.843
Br11 0.839 0.325 0.104
Br12 0.962 0.809 0.343

Computed properties:
DOS(E_F)	9.6	states/eV/cell
size of the total moment	0.00	μB/atom
formation energy from raw total energies	-419	meV/atom
crystal system	monoclinic

8.
This record from Alexandria describes NbMoBr2 after structural relaxation. The functional is PBE.

a = 9.105 Å, b = 9.105 Å, c = 9.105 Å
α = 152.44°, β = 152.44°, γ = 39.37°
Fractional positions:
Nb1 0.000 0.000 0.000
Nb2 0.750 0.250 0.500
Mo1 0.250 0.750 0.500
Mo2 0.500 0.500 0.000
Br1 0.129 0.625 0.004
Br2 0.375 0.379 0.504
Br3 0.621 0.125 0.996
Br4 0.875 0.871 0.496

Computed properties:
relative energy among the computed polymorphs	0.140	eV per atom
DOS(E_F)	10.0	states/eV/cell
size of the total moment	0.00	μB/atom
formation energy from raw total energies	593	meV/atom
crystal system	tetragonal

9.
This record from Alexandria describes NbMoBr2 after structural relaxation. The functional is PBE.

a = 4.607 Å, b = 4.607 Å, c = 4.607 Å
α = 60.00°, β = 60.00°, γ = 60.00°
Fractional positions:
Nb1 0.000 0.000 0.000
Mo1 0.500 0.500 0.500
Br1 0.250 0.250 0.250
Br2 0.750 0.750 0.750

Computed properties:
relative energy among the computed polymorphs	0.368	eV per atom
DOS(E_F)	3.7	states/eV/cell
size of the total moment	0.00	μB/atom
formation energy from raw total energies	821	meV/atom
crystal system	cubic

10.
This record from Alexandria describes NbMo3Br after structural relaxation. The functional is PBE.

a = 4.570 Å, b = 4.570 Å, c = 4.570 Å
α = 90.00°, β = 90.00°, γ = 90.00°
Fractional positions:
Nb1 0.000 0.000 0.000
Mo1 0.000 0.500 0.500
Mo2 0.500 0.000 0.500
Mo3 0.500 0.500 0.000
Br1 0.500 0.500 0.500

Computed properties:
relative energy among the computed polymorphs	0.000	eV per atom
DOS(E_F)	5.4	states/eV/cell
size of the total moment	0.00	μB/atom
formation energy from raw total energies	1521	meV/atom
crystal system	cubic

11.
This record from Alexandria describes NbMoBr2 after structural relaxation. The functional is PBE.

a = 9.201 Å, b = 9.201 Å, c = 9.201 Å
α = 19.80°, β = 19.80°, γ = 19.80°
Fractional positions:
Nb1 0.000 0.000 0.000
Mo1 0.500 0.500 0.500
Br1 0.406 0.406 0.406
Br2 0.594 0.594 0.594

Computed properties:
relative energy among the computed polymorphs	0.000	eV per atom
DOS(E_F)	5.3	states/eV/cell
size of the total moment	0.00	μB/atom
formation energy from raw total energies	453	meV/atom
crystal system	trigonal

12.
This record from Alexandria describes NbMo3Br after structural relaxation. The functional is PBE.

a = 4.860 Å, b = 4.860 Å, c = 4.860 Å
α = 90.00°, β = 90.00°, γ = 90.00°
Fractional positions:
Nb1 0.000 0.000 0.000
Mo1 0.000 0.000 0.500
Mo2 0.000 0.500 0.000
Mo3 0.500 0.000 0.000
Br1 0.500 0.500 0.500

Computed properties:
relative energy among the computed polymorphs	0.575	eV per atom
DOS(E_F)	7.8	states/eV/cell
size of the total moment	0.00	μB/atom
formation energy from raw total energies	2097	meV/atom
crystal system	cubic